a | K3ThTe4: optimized geometry, PBE.

Unit cell a=8.456 b=10.420 c=8.275 alpha=90.00 beta=111.66 gamma=90.00
Space group P2/c (No. 13)
Symmetry-distinct sites (fractional):
K: 0.000 0.139 0.250 [2 per cell]
K: 0.000 0.357 0.750 [2 per cell]
K: 0.500 0.148 0.750 [2 per cell]
Th: 0.500 0.395 0.250 [2 per cell]
Te: 0.273 0.405 0.484 [4 per cell]
Te: 0.307 0.147 0.066 [4 per cell]



b | K3ThTe4: optimized geometry, PBE.

Unit cell a=10.202 b=13.930 c=4.665 alpha=90.00 beta=90.00 gamma=90.00
Space group Cmmm (No. 65)
Symmetry-distinct sites (fractional):
K: 0.000 0.000 0.000 [2 per cell]
K: 0.250 0.250 0.500 [4 per cell]
Th: 0.000 0.500 0.000 [2 per cell]
Te: 0.000 0.277 0.000 [4 per cell]
Te: 0.212 0.500 0.500 [4 per cell]



Which is more stable than every other structure shown? a is more stable than every other one.